Entry 1:
{"formula": "AlCuTc2", "functional": "PBE-GGA", "state": "relaxed", "energy_ev_per_fu": -28.32, "formation_energy_kcal_per_mol_atoms": 1.45, "magnetic_moment_mub_per_fu": 0.00, "lattice_angstrom": [[2.765, 0.000, 0.000], [0.000, 4.008, 0.000], [0.000, 0.000, 5.102]], "species": ["Tc", "Tc", "Cu", "Al"], "fractional_positions": [[0.000, 0.000, 0.013], [0.000, 0.000, 0.487], [0.500, 0.500, 0.750], [0.500, 0.500, 0.250]]}

***

Entry 2:
{"formula": "Pm4NpS5", "functional": "PBE-GGA", "state": "relaxed", "energy_ev_per_fu": -71.57, "magnetic_moment_mub_per_fu": 4.41, "e_form_raw_ev_per_fu": -18.99, "lattice_angstrom": [[3.970, 0.000, -0.559], [-0.079, 3.969, -0.559], [0.016, 0.016, 14.478]], "species": ["Pm", "Pm", "Pm", "Pm", "Np", "S", "S", "S", "S", "S"], "fractional_positions": [[0.400, 0.400, 0.801], [0.802, 0.802, 0.604], [0.198, 0.198, 0.396], [0.600, 0.600, 0.199], [0.000, 0.000, 0.000], [0.098, 0.098, 0.196], [0.500, 0.500, 0.000], [0.902, 0.902, 0.804], [0.299, 0.299, 0.598], [0.701, 0.701, 0.402]]}

***

Entry 3:
{"formula": "Rb2BeIr", "functional": "PBE-GGA", "state": "relaxed", "energy_ev_per_fu": -8.90, "formation_energy_kcal_per_mol_atoms": 32.44, "magnetic_moment_mub_per_fu": 0.00, "lattice_angstrom": [[4.145, 0.000, 0.000], [0.000, 4.145, 0.000], [2.073, 2.073, 11.435]], "species": ["Be", "Be", "Ir", "Ir", "Rb", "Rb", "Rb", "Rb"], "fractional_positions": [[0.500, 0.500, 0.000], [0.250, 0.750, 0.500], [0.000, 0.000, 0.000], [0.750, 0.250, 0.500], [0.625, 0.125, 0.250], [0.125, 0.625, 0.250], [0.375, 0.375, 0.750], [0.875, 0.875, 0.750]]}

***

Entry 4:
{"formula": "Si2SbMo", "functional": "PBE-GGA", "state": "relaxed", "energy_ev_per_fu": -24.12, "magnetic_moment_mub_per_fu": 0.00, "e_form_raw_ev_per_fu": 1.68, "lattice_angstrom": [[-0.251, -4.889, -1.339], [4.348, -1.359, -2.238], [-1.741, 1.830, 4.403]], "species": ["Mo", "Sb", "Si", "Si"], "fractional_positions": [[0.750, 0.250, 0.500], [0.250, 0.750, 0.500], [0.997, 0.997, 0.000], [0.503, 0.503, 0.000]]}

***

Entry 5:
{"formula": "Er2PaAgS6", "functional": "PBE-GGA", "state": "relaxed", "energy_ev_per_fu": -58.05, "magnetic_moment_mub_per_fu": 0.00, "e_form_raw_ev_per_fu": -11.81, "lattice_angstrom": [[-5.661, -3.085, -1.748], [2.631, -1.732, -5.466], [2.071, -5.321, 2.683]], "species": ["Er", "Er", "Pa", "Ag", "S", "S", "S", "S", "S", "S"], "fractional_positions": [[0.984, 0.500, 0.000], [0.984, 0.000, 0.500], [0.591, 0.500, 0.500], [0.509, 0.000, 0.000], [0.759, 0.243, 0.243], [0.759, 0.243, 0.757], [0.193, 0.500, 0.500], [0.152, 0.000, 0.000], [0.759, 0.757, 0.757], [0.759, 0.757, 0.243]]}

***

Entry 6:
{"formula": "InPt", "functional": "PBE-GGA", "state": "relaxed", "energy_ev_per_fu": -9.04, "formation_energy_kcal_per_mol_atoms": -3.04, "magnetic_moment_mub_per_fu": 0.00, "lattice_angstrom": [[-1.676, 2.463, -3.640], [-4.631, 0.145, -0.809], [-2.396, 3.976, 0.755]], "species": ["In", "In", "Pt", "Pt"], "fractional_positions": [[0.000, 0.000, 0.000], [0.750, 0.750, 0.750], [0.250, 0.250, 0.250], [0.500, 0.500, 0.500]]}